## Sm3Si2Ni2 (GGA-PBE)

Data for a geometry-optimized Sm3Si2Ni2 structure.

```
Sm3Si2Ni2
1.0
5.596 0.000 0.000
0.000 7.893 0.000
0.000 0.000 12.686
Sm Si Ni
12 8 8
Direct
0.133 0.112 0.102
0.133 0.112 0.398
0.133 0.388 0.602
0.133 0.388 0.898
0.357 0.743 0.750
0.357 0.757 0.250
0.643 0.243 0.750
0.643 0.257 0.250
0.867 0.612 0.102
0.867 0.612 0.398
0.867 0.888 0.602
0.867 0.888 0.898
0.168 0.093 0.750
0.168 0.407 0.250
0.367 0.750 0.000
0.367 0.750 0.500
0.633 0.250 0.000
0.633 0.250 0.500
0.832 0.593 0.750
0.832 0.907 0.250
0.386 0.033 0.588
0.386 0.033 0.912
0.386 0.467 0.088
0.386 0.467 0.412
0.614 0.533 0.588
0.614 0.533 0.912
0.614 0.967 0.088
0.614 0.967 0.412
```

E_form (uncorrected): -652 meV per atom
M_tot: 0.000 μB/f.u.
space group: Pbcm



## Sm2Si7Ni12 (GGA-PBE)

Data for a geometry-optimized Sm2Si7Ni12 structure.

```
Sm2Si7Ni12
1.0
9.222 0.000 0.000
-4.611 7.987 0.000
0.000 0.000 3.737
Sm Si Ni
2 7 12
Direct
0.000 0.000 0.000
0.333 0.667 0.500
0.056 0.448 0.000
0.267 0.236 0.500
0.392 0.944 0.000
0.552 0.608 0.000
0.667 0.333 0.000
0.764 0.032 0.500
0.968 0.733 0.500
0.037 0.281 0.500
0.114 0.726 0.000
0.245 0.963 0.500
0.274 0.388 0.000
0.389 0.189 0.000
0.557 0.427 0.500
0.573 0.130 0.500
0.612 0.886 0.000
0.719 0.755 0.500
0.800 0.611 0.000
0.811 0.200 0.000
0.870 0.443 0.500
```

E_form (uncorrected): -662 meV per atom
M_tot: 0.000 μB/f.u.
space group: P-6



Which value of M_tot does entry 1 give?
0.000 μB/f.u.



What did the second record say?
## Sm2Si7Ni12 (GGA-PBE)

Data for a geometry-optimized Sm2Si7Ni12 structure.

```
Sm2Si7Ni12
1.0
9.222 0.000 0.000
-4.611 7.987 0.000
0.000 0.000 3.737
Sm Si Ni
2 7 12
Direct
0.000 0.000 0.000
0.333 0.667 0.500
0.056 0.448 0.000
0.267 0.236 0.500
0.392 0.944 0.000
0.552 0.608 0.000
0.667 0.333 0.000
0.764 0.032 0.500
0.968 0.733 0.500
0.037 0.281 0.500
0.114 0.726 0.000
0.245 0.963 0.500
0.274 0.388 0.000
0.389 0.189 0.000
0.557 0.427 0.500
0.573 0.130 0.500
0.612 0.886 0.000
0.719 0.755 0.500
0.800 0.611 0.000
0.811 0.200 0.000
0.870 0.443 0.500
```

E_form (uncorrected): -662 meV per atom
M_tot: 0.000 μB/f.u.
space group: P-6



Which of these has the lowest E_form (uncorrected)?
Sm2Si7Ni12



The highest E_form (uncorrected) belongs to which entry?
Sm3Si2Ni2